A plane-wave DFT calculation with PBE was carried out for crystalline IrPt2Rh2 at its relaxed geometry.

Calculated values
V (Å³/atom): 14.8
Calculated density (Mg/m³): 17.67
DFT formation energy (eV/atom): -0.025
Crystal system: orthorhombic

Lattice parameters (Å, degrees): 2.7505 3.8903 7.3216 105.41 100.83 90.00
Closest atoms and distances in Å follow each position.
Fractional positions:
Ir 0.5000 0.5000 0.0000  8 Rh 2.73, 2 Pt 2.74, 2 Ir 2.75
Pt 0.6975 0.6978 0.3956  1 Ir 2.74, 6 Pt 2.75-2.79, 5 Rh 2.76-2.85
Pt 0.3025 0.3022 0.6044  1 Ir 2.74, 6 Pt 2.75-2.79, 5 Rh 2.76-2.85
Rh 0.0964 0.0964 0.1928  3 Rh 2.67-2.75, 4 Ir 2.73, 5 Pt 2.76-2.85
Rh 0.9036 0.9036 0.8072  3 Rh 2.67-2.75, 4 Ir 2.73, 5 Pt 2.76-2.85


A plane-wave DFT calculation with PBE was carried out for crystalline IrPt3Rh at its relaxed geometry.

Calculated values
V (Å³/atom): 21.8
Calculated density (Mg/m³): 13.40
DFT formation energy (eV/atom): 1.636
Crystal system: cubic

Lattice parameters (Å, degrees): 4.7783 4.7783 4.7783 90.00 90.00 90.00
Closest atoms and distances in Å follow each position.
Fractional positions:
Ir 0.0000 0.0000 0.0000  6 Pt 2.39
Rh 0.5000 0.5000 0.5000  12 Pt 3.38
Pt 0.0000 0.5000 0.0000  2 Ir 2.39
Pt 0.0000 0.0000 0.5000  2 Ir 2.39
Pt 0.5000 0.0000 0.0000  2 Ir 2.39


A plane-wave DFT calculation with PBE was carried out for crystalline Ir3Pt3Rh at its relaxed geometry.

Calculated values
V (Å³/atom): 16.1
Calculated density (Mg/m³): 18.63
DFT formation energy (eV/atom): 0.193
Crystal system: orthorhombic

Lattice parameters (Å, degrees): 5.4179 5.4179 7.6812 90.00 90.00 89.71
Closest atoms and distances in Å follow each position.
Fractional positions:
Ir 0.0001 0.0001 0.7474  4 Pt 2.64-2.74, 2 Rh 2.71, 4 Ir 2.71
Ir 0.4999 0.0001 0.2563  6 Pt 2.68-2.75, 2 Ir 2.71, 2 Rh 2.74
Ir 0.0001 0.4999 0.2563  6 Pt 2.68-2.75, 2 Ir 2.71, 2 Rh 2.74
Ir 0.5001 0.9999 0.7437  6 Pt 2.68-2.75, 2 Ir 2.71, 2 Rh 2.74
Ir 0.9999 0.5001 0.7437  6 Pt 2.68-2.75, 2 Ir 2.71, 2 Rh 2.74
Ir 0.9999 0.9999 0.2526  4 Pt 2.64-2.74, 2 Rh 2.71, 4 Ir 2.71
Pt 0.4999 0.4999 0.7334  4 Pt 2.68-2.78, 4 Ir 2.71, 2 Rh 2.83
Pt 0.2390 0.7610 0.5000  6 Ir 2.64-2.68, 2 Pt 2.68
Pt 0.7610 0.2390 0.5000  6 Ir 2.64-2.68, 2 Pt 2.68
Pt 0.2536 0.7464 0.0000  4 Rh 2.70-2.71, 6 Ir 2.74-2.75, 2 Pt 2.78
Pt 0.7464 0.2536 0.0000  4 Rh 2.70-2.71, 6 Ir 2.74-2.75, 2 Pt 2.78
Pt 0.5001 0.5001 0.2666  4 Pt 2.68-2.78, 4 Ir 2.71, 2 Rh 2.83
Rh 0.2455 0.2455 0.0000  6 Pt 2.70-2.83, 6 Ir 2.71-2.74
Rh 0.7545 0.7545 0.0000  6 Pt 2.70-2.83, 6 Ir 2.71-2.74


A plane-wave DFT calculation with PBE was carried out for crystalline Ir2Pt2Rh at its relaxed geometry.

Calculated values
V (Å³/atom): 14.9
Calculated density (Mg/m³): 19.56
DFT formation energy (eV/atom): 0.036
Crystal system: monoclinic

Lattice parameters (Å, degrees): 3.9100 4.7867 4.7784 80.48 65.79 65.97
Closest atoms and distances in Å follow each position.
Fractional positions:
Ir 0.6053 0.0941 0.1961  3 Ir 2.72-2.77, 3 Rh 2.73-2.78, 6 Pt 2.74-2.79
Ir 0.3947 0.9059 0.8039  3 Ir 2.72-2.77, 3 Rh 2.73-2.78, 6 Pt 2.74-2.79
Pt 0.2006 0.7007 0.3973  6 Ir 2.74-2.79, 3 Rh 2.75-2.77, 3 Pt 2.76-2.78
Pt 0.7994 0.2993 0.6027  6 Ir 2.74-2.79, 3 Rh 2.75-2.77, 3 Pt 2.76-2.78
Rh 0.0000 0.5000 0.0000  6 Ir 2.73-2.78, 6 Pt 2.75-2.77